The following is a PBE-GGA calculation of a relaxed structure of LaNdGd, from OQMD.

Cell: 5.4717 5.4717 5.4717 Å, 60.00 60.00 60.00°
Positions (direct):
Nd: 0.7500 0.7500 0.7500
Gd: 0.2500 0.2500 0.2500
La: 0.0000 0.0000 0.0000

* space group: F-43m
* formation energy from the elements: 0.737 eV per atom
* VASP energy: -4.043 eV per atom

=====

The following is a PBE-GGA calculation of a relaxed structure of AcTb, from OQMD.

Cell: 5.2738 5.2738 5.2738 Å, 60.00 60.00 60.00°
Positions (direct):
Tb: 0.2500 0.2500 0.2500
Ac: 0.0000 0.0000 0.0000

* energy relative to the lowest polymorph listed for this composition: 1654.0 meV per atom
* space group: F-43m
* formation energy from the elements: 1.745 eV per atom
* VASP energy: -2.623 eV per atom

=====

The following is a PBE-GGA calculation of a relaxed structure of Tc2SnPd, from OQMD.

Cell: 4.5065 4.5065 4.5065 Å, 60.00 60.00 60.00°
Positions (direct):
Tc: 0.7500 0.7500 0.7500
Sn: 0.5000 0.5000 0.5000
Pd: 0.2500 0.2500 0.2500
Tc: 0.0000 0.0000 0.0000

* space group: F-43m
* VASP energy: -7.308 eV per atom

=====

The following is a PBE-GGA calculation of a relaxed structure of Lu3Bi2S, from OQMD.

Cell: 4.2113 4.2113 10.3301 Å, 90.00 90.00 120.00°
Positions (direct):
Lu: 0.0000 0.0000 0.5000
S: 0.0000 0.0000 0.0000
Lu: 0.3333 0.6667 0.1374
Bi: 0.3333 0.6667 0.6806
Bi: 0.6667 0.3333 0.3194
Lu: 0.6667 0.3333 0.8626

* space group: P-3m1
* VASP energy: -5.351 eV per atom